No. 1
A plane-wave DFT calculation with PBE-GGA was carried out for NbCr2Fe2 after structural relaxation.

Cell and atoms, written as extended XYZ:
```
10
Lattice="3.7095 0.0000 0.0000 0.0000 3.7095 0.0000 0.0000 0.0000 9.5949" Properties=species:S:1:pos:R:3 pbc="T T T"
Nb 0.0000 0.0000 0.0000
Nb 1.8547 1.8547 4.7975
Cr 0.0000 0.0000 3.6849
Cr 0.0000 0.0000 5.9100
Cr 1.8547 1.8547 1.1126
Cr 1.8547 1.8547 8.4824
Fe 0.0000 1.8547 2.3987
Fe 0.0000 1.8547 7.1962
Fe 1.8547 0.0000 2.3987
Fe 1.8547 0.0000 7.1962
```

Symmetry: I4/mmm, No. 139
Crystal system: tetragonal
E_form, eV/f.u.: 1.441

No. 2
A plane-wave DFT calculation with PBE-GGA was carried out for La2Sm2In3 after structural relaxation.

Cell and atoms, written as extended XYZ:
```
14
Lattice="4.5361 0.0000 0.0000 0.0000 25.0740 0.0000 0.0000 0.0000 3.6013" Properties=species:S:1:pos:R:3 pbc="T T T"
La 0.0000 5.1541 0.0000
La 0.0000 19.9200 0.0000
La 2.2681 7.3830 0.0000
La 2.2681 17.6911 0.0000
Sm 0.0000 1.7346 0.0000
Sm 0.0000 23.3394 0.0000
Sm 2.2681 10.8024 0.0000
Sm 2.2681 14.2716 0.0000
In 0.0000 9.0991 1.8007
In 0.0000 12.5370 1.8007
In 0.0000 15.9749 1.8007
In 2.2681 0.0000 1.8007
In 2.2681 3.4379 1.8007
In 2.2681 21.6361 1.8007
```

Symmetry: Cmmm, No. 65
Crystal system: orthorhombic
E_form, eV/f.u.: -2.584

No. 3
A plane-wave DFT calculation with PBE-GGA was carried out for Ba2HRh after structural relaxation.

Cell and atoms, written as extended XYZ:
```
4
Lattice="3.6959 0.0000 0.0000 0.0000 3.6959 0.0000 0.0000 0.0000 7.6163" Properties=species:S:1:pos:R:3 pbc="T T T"
Ba 0.0000 0.0000 1.8917
Ba 0.0000 0.0000 5.7246
H 1.8480 1.8480 3.8082
Rh 1.8480 1.8480 0.0000
```

Uncorrected energy, eV/atom: -3.7732
Symmetry: P4/mmm, No. 123
Crystal system: tetragonal

No. 4
A plane-wave DFT calculation with PBE-GGA was carried out for HoErCd4 after structural relaxation.

Cell and atoms, written as extended XYZ:
```
6
Lattice="0.0000 4.1616 4.1616 4.1616 0.0000 4.1616 4.1616 4.1616 0.0000" Properties=species:S:1:pos:R:3 pbc="T T T"
Ho 0.0000 0.0000 0.0000
Er 6.2424 6.2424 6.2424
Cd 3.1211 3.1211 3.1211
Cd 5.2021 5.2021 3.1211
Cd 5.2021 3.1211 5.2021
Cd 3.1211 5.2021 5.2021
```

Symmetry: F-43m, No. 216
Crystal system: cubic
E_form, eV/f.u.: -1.405

No. 5
A plane-wave DFT calculation with PBE-GGA was carried out for Nd5ScZn6 after structural relaxation.

Cell and atoms, written as extended XYZ:
```
12
Lattice="5.1066 0.0000 0.0000 0.0000 7.2731 0.0000 -2.5376 0.0000 7.7515" Properties=species:S:1:pos:R:3 pbc="T T T"
Nd 0.0000 0.0000 0.0000
Nd 0.0108 0.0000 5.1004
Nd 0.0102 3.6366 5.1970
Nd 2.5588 3.6366 2.5545
Nd 2.5582 0.0000 2.6511
Sc 0.0000 3.6366 0.0000
Zn 0.0061 1.9080 2.4382
Zn 0.0061 5.3651 2.4382
Zn 2.5533 1.9403 0.0000
Zn 2.5533 5.3328 0.0000
Zn 2.5630 1.9080 5.3133
Zn 2.5630 5.3651 5.3133
```

Symmetry: P2/m, No. 10
Crystal system: monoclinic
E_form, eV/f.u.: -3.597

No. 6
A plane-wave DFT calculation with PBE-GGA was carried out for Ba2Cd6HgPd after structural relaxation.

Cell and atoms, written as extended XYZ:
```
20
Lattice="3.6220 2.0912 12.8071 -3.6220 2.0912 12.8071 0.0000 -4.1823 12.8071" Properties=species:S:1:pos:R:3 pbc="T T T"
Ba 0.0000 0.0000 4.1828
Ba 0.0000 0.0000 10.7721
Ba 0.0000 0.0000 27.6492
Ba 0.0000 0.0000 34.2385
Cd -2.1474 -1.2398 18.0941
Cd 0.0000 -1.7818 13.9893
Cd -1.5431 0.8909 13.9893
Cd 0.0000 -2.4796 20.3272
Cd -2.1474 1.2398 20.3272
Cd -1.5431 -0.8909 24.4320
Cd 1.5431 0.8909 13.9893
Cd 2.1474 -1.2398 18.0941
Cd 0.0000 2.4796 18.0941
Cd 1.5431 -0.8909 24.4320
Cd 0.0000 1.7818 24.4320
Cd 2.1474 1.2398 20.3272
Hg 0.0000 0.0000 16.3569
Hg 0.0000 0.0000 22.0644
Pd 0.0000 0.0000 0.0000
Pd 0.0000 0.0000 19.2107
```

Symmetry: R-3m, No. 166
Crystal system: trigonal
E_form, eV/f.u.: -2.719

No. 7
A plane-wave DFT calculation with PBE-GGA was carried out for SrPu2P2 after structural relaxation.

Cell and atoms, written as extended XYZ:
```
10
Lattice="4.1605 0.0000 0.0000 0.0000 5.6582 0.0000 0.0000 0.0000 12.2463" Properties=species:S:1:pos:R:3 pbc="T T T"
Sr 0.0000 0.0000 0.0000
Sr 2.0803 2.8291 6.1231
Pu 0.0000 0.0000 4.0431
Pu 0.0000 0.0000 8.2032
Pu 2.0803 2.8291 2.0800
Pu 2.0803 2.8291 10.1663
P 0.0000 2.8291 3.8968
P 0.0000 2.8291 8.3495
P 2.0803 0.0000 2.2263
P 2.0803 0.0000 10.0200
```

Symmetry: Immm, No. 71
Crystal system: orthorhombic
E_form, eV/f.u.: -3.886

No. 8
A plane-wave DFT calculation with PBE-GGA was carried out for MnBeNb2H after structural relaxation.

Cell and atoms, written as extended XYZ:
```
5
Lattice="4.0986 0.0000 0.0000 0.0000 4.0986 0.0000 0.0000 0.0000 3.5607" Properties=species:S:1:pos:R:3 pbc="T T T"
Mn 0.0000 0.0000 0.0000
Be 2.0493 2.0493 0.0000
Nb 0.0000 2.0493 1.7803
Nb 2.0493 0.0000 1.7803
H 0.0000 0.0000 1.7803
```

Uncorrected energy, eV/atom: -7.2914
Symmetry: P4/mmm, No. 123
Crystal system: tetragonal

No. 9
A plane-wave DFT calculation with PBE-GGA was carried out for HfSc2CdN after structural relaxation.

Cell and atoms, written as extended XYZ:
```
5
Lattice="4.4671 0.0000 0.0000 0.0000 4.4671 0.0000 0.0000 0.0000 4.4464" Properties=species:S:1:pos:R:3 pbc="T T T"
Hf 0.0000 0.0000 0.0000
Sc 0.0000 2.2336 2.2232
Sc 2.2336 0.0000 2.2232
Cd 2.2336 2.2336 0.0000
N 0.0000 0.0000 2.2232
```

Symmetry: P4/mmm, No. 123
Crystal system: tetragonal
Uncorrected formation energy, meV per atom: -918

No. 10
A plane-wave DFT calculation with PBE-GGA was carried out for Na3CdHg8 after structural relaxation.

Cell and atoms, written as extended XYZ:
```
12
Lattice="5.7080 -5.4910 0.0000 5.7080 5.4910 0.0000 -2.7204 0.0000 4.8859" Properties=species:S:1:pos:R:3 pbc="T T T"
Na 0.0000 0.0000 0.0000
Na 3.9229 2.7015 2.9186
Na 3.9229 -2.7015 2.9186
Cd 5.8351 0.0000 3.0881
Hg 1.1233 2.8264 4.5539
Hg 0.0575 0.0000 3.1722
Hg 2.9329 0.0000 1.4931
Hg 6.7247 2.7326 1.3125
Hg 3.0026 0.0000 4.7237
Hg 1.1233 -2.8264 4.5539
Hg 8.6066 0.0000 1.5189
Hg 6.7247 -2.7326 1.3125
```

Symmetry: Cm, No. 8
Crystal system: monoclinic
E_form, eV/f.u.: -1.957

No. 11
A plane-wave DFT calculation with PBE-GGA was carried out for TlOsW2 after structural relaxation.

Cell and atoms, written as extended XYZ:
```
8
Lattice="3.1559 0.0000 0.0000 0.0000 4.7693 0.0000 0.0000 0.0000 9.3318" Properties=species:S:1:pos:R:3 pbc="T T T"
Tl 0.0000 0.0000 0.0000
Tl 1.5779 2.3846 0.0000
Os 0.0000 2.3846 6.8239
Os 1.5779 0.0000 6.8239
W 0.0000 0.0000 4.7353
W 0.0000 2.3846 2.5715
W 1.5779 0.0000 2.5715
W 1.5779 2.3846 4.7353
```

Symmetry: Cmm2, No. 35
Crystal system: orthorhombic
E_form, eV/f.u.: 2.752

No. 12
A plane-wave DFT calculation with PBE-GGA was carried out for CaAs2IrSe after structural relaxation.

Cell and atoms, written as extended XYZ:
```
5
Lattice="4.7079 0.0000 0.0000 0.0000 4.7079 0.0000 0.0000 0.0000 5.6419" Properties=species:S:1:pos:R:3 pbc="T T T"
Ca 0.0000 0.0000 0.0000
As 0.0000 2.3539 2.8209
As 2.3539 0.0000 2.8209
Ir 2.3539 2.3539 2.8209
Se 2.3539 2.3539 0.0000
```

Symmetry: P4/mmm, No. 123
Crystal system: tetragonal
Uncorrected formation energy, meV per atom: -181

no.,M_tot (μB per atom)
1,0.00
2,0.00
3,0.00
4,0.00
5,0.00
6,0.00
7,2.39
8,0.21
9,0.00
10,0.00
11,0.00
12,0.00